A plane-wave DFT calculation with PBE+U was carried out for CsV4In3O12 after structural relaxation.

Values from the calculation:
For the calculated volume, the calculation gives 16.0 A^3/atom. For the total magnetic moment, the calculation gives 6.0 μB per formula unit. Its total energy is -6.4579 eV per atom. The value obtained for the calculated density is 4.52 g/cm³.

Lattice parameters (Å, degrees): 11.7045 11.7045 8.1059 90.00 90.00 120.00
With the nearest neighbours (Å) after each atom.
Space group R32 (No. 155, hexagonal axes)
Inequivalent atoms, fractional coordinates:
Cs  0.0000  0.0000  0.0000  6 O 2.96
V  0.0000  0.0000  0.5000  3 O 1.98
V  0.0000  0.4352  0.5000  3 O 1.74-1.78
In  0.0000  0.5660  0.0000  6 O 2.16-2.27
O  0.0000  0.5876  0.5000  1 V 1.78
O  0.0000  0.8311  0.5000  1 V 1.98, 2 In 2.16
O  0.0487  0.2373  0.1884  1 V 1.74